A relaxed NaTmInPd crystal. Source: the Alexandria database, functional PBE.

Cell and atoms, written as POSCAR:
```
NaTmInPd
1.0
0.000 3.471 3.471
3.471 0.000 3.471
3.471 3.471 0.000
Na Tm In Pd
1 1 1 1
direct
0.000 0.000 0.000
0.250 0.250 0.250
0.750 0.750 0.750
0.500 0.500 0.500
```

- Space-group type: No. 216
- VASP energy: -3.81 eV/atom
- Total moment: 0.00 Bohr magnetons per cell